Compound: GeWC
Source: the Alexandria database
Functional: PBE-GGA
Structure: relaxed

Calculated values
Its density is 10.59 Mg/m³. The calculation puts the uncorrected energy at -50.20 eV per cell. Its energy relative to the elements is 0.566 eV per atom. Its density of states at the Fermi level is 1.12 states/eV/cell.

a = 10.9708 Å, b = 10.9708 Å, c = 10.9708 Å
α = 15.69°, β = 15.69°, γ = 15.69°
Closest atoms and distances in Å follow each position.
Positions (direct):
Ge  0.1153  0.1153  0.1153  3 C 2.12
Ge  0.8847  0.8847  0.8847  3 C 2.12
W  0.3695  0.3695  0.3695  3 C 2.20
W  0.6305  0.6305  0.6305  3 C 2.20
C  0.2555  0.2555  0.2555  3 Ge 2.12, 3 W 2.20
C  0.7445  0.7445  0.7445  3 Ge 2.12, 3 W 2.20



Compound: Ho2ErTi
Source: the Alexandria database
Functional: PBE-GGA
Structure: relaxed

Calculated values
The value obtained for the relative energy among the computed polymorphs is 0.0358 eV per atom. Its density is 8.44 Mg/m³. The calculation puts the uncorrected energy at -20.83 eV per cell. Its energy relative to the elements is 0.195 eV per atom. Its density of states at the Fermi level is 6.22 states/eV/cell.

a = 4.7559 Å, b = 4.7559 Å, c = 4.7414 Å
α = 90.00°, β = 90.00°, γ = 90.00°
Closest atoms and distances in Å follow each position.
Positions (direct):
Ho  0.0000  0.5000  0.0000  4 Er 3.36, 4 Ti 3.36, 4 Ho 3.36
Ho  0.5000  0.0000  0.0000  4 Er 3.36, 4 Ti 3.36, 4 Ho 3.36
Er  0.0000  0.0000  0.5000  8 Ho 3.36, 4 Ti 3.36
Ti  0.5000  0.5000  0.5000  8 Ho 3.36, 4 Er 3.36



Compound: SrNi2Cl
Source: the Alexandria database
Functional: PBE-GGA
Structure: relaxed

Calculated values
The value obtained for the relative energy among the computed polymorphs is 0.2789 eV per atom. Its density is 4.71 Mg/m³. The calculation puts the uncorrected energy at -15.44 eV per cell. Its density of states at the Fermi level is 7.53 states/eV/cell.

a = 3.8444 Å, b = 3.8444 Å, c = 5.7397 Å
α = 90.00°, β = 90.00°, γ = 90.00°
Closest atoms and distances in Å follow each position.
Positions (direct):
Sr  0.0000  0.0000  0.0000  4 Cl 2.72
Ni  0.0000  0.5000  0.5000  4 Ni 2.72
Ni  0.5000  0.0000  0.5000  4 Ni 2.72
Cl  0.5000  0.5000  0.0000  4 Sr 2.72



Compound: BaReW2
Source: the Alexandria database
Functional: PBE-GGA
Structure: relaxed

Calculated values
The value obtained for the relative energy among the computed polymorphs is 0.6838 eV per atom. Its density is 14.92 Mg/m³. The calculation puts the uncorrected energy at -34.17 eV per cell. Its energy relative to the elements is 1.526 eV per atom. Its density of states at the Fermi level is 3.40 states/eV/cell.

a = 5.6637 Å, b = 5.6637 Å, c = 2.8373 Å
α = 99.76°, β = 99.76°, γ = 116.72°
Closest atoms and distances in Å follow each position.
Positions (direct):
Ba  0.0000  0.0000  0.0000  2 Ba 2.84, 4 W 2.94, 2 Re 2.97
Re  0.5000  0.5000  0.0000  2 Re 2.84, 4 W 2.94, 2 Ba 2.97
W  0.0000  0.5000  0.5000  4 W 2.84-2.97, 2 Ba 2.94, 2 Re 2.94
W  0.5000  0.0000  0.5000  4 W 2.84-2.97, 2 Ba 2.94, 2 Re 2.94